Record 1
This record from the Alexandria database describes an optimized crystal structure of K3PuNp2O9. The functional is PBE.

Unit cell a=6.077 b=6.077 c=7.442 alpha=90.00 beta=90.00 gamma=120.00
Fractional coordinates of all 15 atoms:
K  0.000  0.000  0.000
K  0.333  0.667  0.666
K  0.667  0.333  0.334
Pu  0.000  0.000  0.500
Np  0.333  0.667  0.167
Np  0.667  0.333  0.833
O  0.000  0.500  0.000
O  0.170  0.341  0.329
O  0.170  0.830  0.329
O  0.341  0.170  0.671
O  0.500  0.000  0.000
O  0.500  0.500  0.000
O  0.659  0.830  0.329
O  0.830  0.170  0.671
O  0.830  0.659  0.671

Values from the calculation:
Theoretical density, g cm⁻³: 6.833
Energy relative to the elements, uncorrected, kJ/mol of formula units: -3870

Record 2
This record from the Alexandria database describes an optimized crystal structure of LiHfScNi. The functional is PBE.

Unit cell a=4.578 b=4.578 c=4.578 alpha=60.00 beta=60.00 gamma=60.00
Fractional coordinates of all 4 atoms:
Li  0.000  0.000  0.000
Hf  0.750  0.750  0.750
Sc  0.250  0.250  0.250
Ni  0.500  0.500  0.500

Values from the calculation:
Theoretical density, g cm⁻³: 7.077
Energy of formation from the pure elements, eV per formula unit: -0.4

Record 3
This record from the Alexandria database describes an optimized crystal structure of MoRuN2. The functional is PBE.

Unit cell a=6.727 b=6.727 c=6.727 alpha=24.47 beta=24.47 gamma=24.47
Fractional coordinates of all 4 atoms:
Mo  0.000  0.000  0.000
Ru  0.500  0.500  0.500
N  0.400  0.400  0.400
N  0.600  0.600  0.600

Values from the calculation:
Theoretical density, g cm⁻³: 8.138
Energy relative to the elements, uncorrected, kJ/mol of formula units: 77

Record 4
This record from the Alexandria database describes an optimized crystal structure of Sr2CeTcO6. The functional is PBE.

Unit cell a=5.870 b=5.955 c=10.162 alpha=90.00 beta=124.87 gamma=90.00
Fractional coordinates of all 20 atoms:
Sr  0.239  0.040  0.249
Sr  0.239  0.460  0.749
Sr  0.761  0.540  0.251
Sr  0.761  0.960  0.751
Ce  0.500  0.000  0.000
Ce  0.500  0.500  0.500
Tc  0.000  0.000  0.500
Tc  0.000  0.500  0.000
O  0.152  0.224  0.956
O  0.152  0.276  0.456
O  0.233  0.700  0.957
O  0.233  0.800  0.457
O  0.318  0.024  0.737
O  0.318  0.476  0.237
O  0.682  0.524  0.763
O  0.682  0.976  0.263
O  0.767  0.200  0.543
O  0.767  0.300  0.043
O  0.848  0.724  0.544
O  0.848  0.776  0.044

Values from the calculation:
Theoretical density, g cm⁻³: 5.805
Energy relative to the elements, uncorrected, kJ/mol of formula units: -2535

Record 5
This record from the Alexandria database describes an optimized crystal structure of LaMg2Mo. The functional is PBE.

Unit cell a=6.014 b=6.014 c=6.014 alpha=147.94 beta=125.24 gamma=64.88
Fractional coordinates of all 4 atoms:
La  0.000  0.000  0.000
Mg  0.429  0.429  0.000
Mg  0.702  0.202  0.500
Mo  0.207  0.707  0.500

Values from the calculation:
Theoretical density, g cm⁻³: 5.048
Energy of formation from the pure elements, eV per formula unit: 1.7

Record 6
This record from the Alexandria database describes an optimized crystal structure of CsSn2Au2. The functional is PBE.

Unit cell a=7.533 b=7.533 c=7.533 alpha=140.56 beta=140.56 gamma=57.00
Fractional coordinates of all 5 atoms:
Cs  0.000  0.000  0.000
Sn  0.250  0.750  0.500
Sn  0.750  0.250  0.500
Au  0.337  0.337  0.000
Au  0.663  0.663  0.000

Values from the calculation:
Theoretical density, g cm⁻³: 7.418
Energy of formation from the pure elements, eV per formula unit: -1.2

Record 7
This record from the Alexandria database describes an optimized crystal structure of Mg2CuNi2. The functional is PBE.

Unit cell a=6.149 b=6.149 c=3.883 alpha=90.00 beta=90.00 gamma=90.00
Fractional coordinates of all 10 atoms:
Mg  0.173  0.327  0.000
Mg  0.327  0.827  0.000
Mg  0.673  0.173  0.000
Mg  0.827  0.673  0.000
Cu  0.000  0.000  0.500
Cu  0.500  0.500  0.500
Ni  0.132  0.632  0.500
Ni  0.368  0.132  0.500
Ni  0.632  0.868  0.500
Ni  0.868  0.368  0.500

Values from the calculation:
Theoretical density, g cm⁻³: 5.193
Energy of formation from the pure elements, eV per formula unit: -0.5

Record 8
This record from the Alexandria database describes an optimized crystal structure of Nd3TeBr2O6. The functional is PBE.

Unit cell a=6.985 b=6.985 c=5.857 alpha=99.34 beta=99.34 gamma=58.69
Fractional coordinates of all 12 atoms:
Nd  0.000  0.000  0.000
Nd  0.000  0.500  0.500
Nd  0.500  0.000  0.500
Te  0.500  0.500  0.500
Br  0.218  0.218  0.879
Br  0.782  0.782  0.121
O  0.203  0.682  0.698
O  0.318  0.797  0.302
O  0.337  0.337  0.341
O  0.663  0.663  0.659
O  0.682  0.203  0.698
O  0.797  0.318  0.302

Values from the calculation:
Theoretical density, g cm⁻³: 5.649
Energy relative to the elements, uncorrected, kJ/mol of formula units: -2307

Record 9
This record from the Alexandria database describes an optimized crystal structure of Zr2PRu. The functional is PBE.

Unit cell a=3.026 b=3.026 c=7.706 alpha=90.00 beta=90.00 gamma=90.00
Fractional coordinates of all 4 atoms:
Zr  0.000  0.000  0.000
Zr  0.500  0.500  0.327
P  0.000  0.000  0.577
Ru  0.500  0.500  0.725

Values from the calculation:
Theoretical density, g cm⁻³: 7.403
Energy of formation from the pure elements, eV per formula unit: -1.7

Record 10
This record from the Alexandria database describes an optimized crystal structure of Cs2LaBrCl6. The functional is PBE.

Unit cell a=8.486 b=8.486 c=8.486 alpha=124.06 beta=124.06 gamma=83.10
Fractional coordinates of all 10 atoms:
Cs  0.250  0.750  0.500
Cs  0.750  0.250  0.500
La  0.000  0.000  0.000
Br  0.500  0.500  0.000
Cl  0.217  0.217  0.000
Cl  0.246  0.246  0.493
Cl  0.246  0.754  0.000
Cl  0.754  0.246  0.000
Cl  0.754  0.754  0.507
Cl  0.783  0.783  0.000

Values from the calculation:
Theoretical density, g cm⁻³: 2.878
Energy relative to the elements, uncorrected, kJ/mol of formula units: -1556

Record 11
This record from the Alexandria database describes an optimized crystal structure of KTbBr2. The functional is PBE.

Unit cell a=11.042 b=11.042 c=11.042 alpha=20.29 beta=20.29 gamma=20.29
Fractional coordinates of all 4 atoms:
K  0.000  0.000  0.000
Tb  0.500  0.500  0.500
Br  0.107  0.107  0.107
Br  0.893  0.893  0.893

Values from the calculation:
Theoretical density, g cm⁻³: 4.195
Energy relative to the elements, uncorrected, kJ/mol of formula units: -444

Record 12
This record from the Alexandria database describes an optimized crystal structure of TaFe3Ag. The functional is PBE.

Unit cell a=4.525 b=4.525 c=4.525 alpha=90.00 beta=90.00 gamma=90.00
Fractional coordinates of all 5 atoms:
Ta  0.000  0.000  0.000
Fe  0.000  0.000  0.500
Fe  0.000  0.500  0.000
Fe  0.500  0.000  0.000
Ag  0.500  0.500  0.500

Values from the calculation:
Theoretical density, g cm⁻³: 8.177
Energy of formation from the pure elements, eV per formula unit: 7.2

Record 13
This record from the Alexandria database describes an optimized crystal structure of Ga2Cu2Ge. The functional is PBE.

Unit cell a=7.591 b=7.591 c=2.700 alpha=90.00 beta=90.00 gamma=90.00
Fractional coordinates of all 10 atoms:
Ga  0.170  0.330  0.000
Ga  0.330  0.830  0.000
Ga  0.670  0.170  0.000
Ga  0.830  0.670  0.000
Cu  0.127  0.627  0.500
Cu  0.373  0.127  0.500
Cu  0.627  0.873  0.500
Cu  0.873  0.373  0.500
Ge  0.000  0.000  0.500
Ge  0.500  0.500  0.500

Values from the calculation:
Theoretical density, g cm⁻³: 7.240
Energy of formation from the pure elements, eV per formula unit: 0.4

Record 14
This record from the Alexandria database describes an optimized crystal structure of Ac3LaHg6. The functional is PBE.

Unit cell a=9.934 b=5.484 c=11.959 alpha=90.00 beta=108.14 gamma=90.00
Fractional coordinates of all 20 atoms:
Ac  0.007  0.250  0.382
Ac  0.149  0.750  0.209
Ac  0.278  0.250  0.989
Ac  0.722  0.750  0.011
Ac  0.851  0.250  0.791
Ac  0.993  0.750  0.618
La  0.439  0.250  0.609
La  0.561  0.750  0.391
Hg  0.037  0.750  0.914
Hg  0.168  0.250  0.699
Hg  0.263  0.750  0.500
Hg  0.351  0.250  0.315
Hg  0.367  0.750  0.799
Hg  0.444  0.750  0.109
Hg  0.556  0.250  0.891
Hg  0.633  0.250  0.201
Hg  0.649  0.750  0.685
Hg  0.737  0.250  0.500
Hg  0.832  0.750  0.301
Hg  0.963  0.250  0.086

Values from the calculation:
Theoretical density, g cm⁻³: 10.855
Energy of formation from the pure elements, eV per formula unit: -4.4

Record 15
This record from the Alexandria database describes an optimized crystal structure of AgPd3Pt. The functional is PBE.

Unit cell a=4.892 b=4.892 c=4.892 alpha=90.00 beta=90.00 gamma=90.00
Fractional coordinates of all 5 atoms:
Ag  0.000  0.000  0.000
Pd  0.000  0.500  0.500
Pd  0.500  0.000  0.500
Pd  0.500  0.500  0.000
Pt  0.500  0.500  0.500

Values from the calculation:
Theoretical density, g cm⁻³: 8.828
Energy of formation from the pure elements, eV per formula unit: 4.9

Record 16
This record from the Alexandria database describes an optimized crystal structure of La2Pm3Er2. The functional is PBE.

Unit cell a=3.645 b=8.104 c=8.947 alpha=68.40 beta=89.94 gamma=77.07
Fractional coordinates of all 7 atoms:
La  0.216  0.070  0.145
La  0.784  0.930  0.855
Pm  0.360  0.781  0.571
Pm  0.500  0.500  0.000
Pm  0.640  0.219  0.429
Er  0.070  0.361  0.712
Er  0.930  0.639  0.288

Values from the calculation:
Theoretical density, g cm⁻³: 7.290
Energy of formation from the pure elements, eV per formula unit: 0.2

Record 17
This record from the Alexandria database describes an optimized crystal structure of Nd6Tl3Cd. The functional is PBE.

Unit cell a=9.649 b=5.482 c=12.061 alpha=90.00 beta=107.53 gamma=90.00
Fractional coordinates of all 20 atoms:
Nd  0.036  0.250  0.409
Nd  0.162  0.750  0.180
Nd  0.251  0.250  0.001
Nd  0.348  0.750  0.807
Nd  0.369  0.250  0.345
Nd  0.410  0.250  0.620
Nd  0.590  0.750  0.380
Nd  0.631  0.750  0.655
Nd  0.652  0.250  0.193
Nd  0.749  0.750  0.999
Nd  0.838  0.250  0.820
Nd  0.964  0.750  0.591
Tl  0.035  0.750  0.883
Tl  0.129  0.250  0.716
Tl  0.271  0.750  0.474
Tl  0.729  0.250  0.526
Tl  0.871  0.750  0.284
Tl  0.965  0.250  0.117
Cd  0.458  0.750  0.097
Cd  0.542  0.250  0.903

Values from the calculation:
Theoretical density, g cm⁻³: 8.685
Energy of formation from the pure elements, eV per formula unit: -2.7

Record 18
This record from the Alexandria database describes an optimized crystal structure of SnBiAuN. The functional is PBE.

Unit cell a=3.402 b=7.219 c=7.219 alpha=29.39 beta=90.00 gamma=90.00
Fractional coordinates of all 4 atoms:
Sn  0.000  0.000  0.000
Bi  0.500  0.713  0.713
Au  0.000  0.353  0.353
N  0.500  0.093  0.093

Values from the calculation:
Theoretical density, g cm⁻³: 10.282
Energy relative to the elements, uncorrected, kJ/mol of formula units: 98